# 1
# NaIn2AgO PBE relaxed
data_NaIn2AgO
_cell_length_a 5.569
_cell_length_b 5.569
_cell_length_c 4.897
_cell_angle_alpha 90.00
_cell_angle_beta 90.00
_cell_angle_gamma 90.00
_space_group_name_H-M_alt 'P 4/m m m'
_space_group_IT_number 123
_space_group_name_Hall '-P 4 2'
loop_
_atom_site_label
_atom_site_fract_x
_atom_site_fract_y
_atom_site_fract_z
Na1 0.000 0.000 0.000
In1 0.000 0.500 0.000
Ag1 0.000 0.000 0.500
O1 0.500 0.500 0.500
# total moment = 0.000 μB/cell
# formation energy without anion corrections = 4.50 eV/f.u.

---

# 2
# Ta3Ru4 PBE relaxed
data_Ta3Ru4
_cell_length_a 5.2796
_cell_length_b 5.2796
_cell_length_c 4.7912
_cell_angle_alpha 90.00
_cell_angle_beta 90.00
_cell_angle_gamma 120.00
_space_group_name_H-M_alt 'P 6/m m m'
_space_group_IT_number 191
_space_group_name_Hall '-P 6 2'
loop_
_atom_site_label
_atom_site_fract_x
_atom_site_fract_y
_atom_site_fract_z
Ta1 0.0000 0.5000 0.0000
Ru1 0.0000 0.0000 0.2580
Ru2 0.3333 0.6667 0.5000
# excess energy over the best structure of this formula in the dataset = 478 meV per atom
# total moment = 0.000 μB/cell
# E_form = 0.336 eV/atom